1.
A geometry-optimized La2NdSmHo2 structure, computed with PBE.

Lattice parameters (Å, degrees): 5.773 7.124 9.998 90.00 90.00 90.00
Fractional positions:
Sm  0.500  0.258  0.665
Sm  0.500  0.758  0.335
La  0.000  0.258  0.168
La  0.500  0.508  0.000
La  0.500  0.008  0.000
La  0.000  0.758  0.832
Nd  0.000  0.508  0.500
Nd  0.000  0.008  0.500
Ho  0.500  0.758  0.665
Ho  0.000  0.258  0.832
Ho  0.000  0.758  0.168
Ho  0.500  0.258  0.335

Calculated values
Symmetry ... No. 51
Magnetization ... 0.0 μB per formula unit
DFT formation energy ... 7 kJ per mole of atoms
N(E_F) ... 19.38 states/eV per cell
VASP energy ... -28.09 eV per formula unit
Crystal system ... orthorhombic

---

2.
A geometry-optimized PmPr2Th structure, computed with PBE.

Lattice parameters (Å, degrees): 3.549 3.549 13.018 82.17 82.17 60.00
Fractional positions:
Pm  0.500  0.500  0.500
Th  0.000  0.000  0.000
Pr  0.089  0.089  0.734
Pr  0.911  0.911  0.266

Calculated values
Symmetry ... No. 166
Magnetization ... 0.0 μB per formula unit
DFT formation energy ... 19 kJ per mole of atoms
N(E_F) ... 6.08 states/eV per cell
VASP energy ... -20.94 eV per formula unit
Energy above the most stable polymorph in this dataset ... 156 meV/atom
Crystal system ... trigonal

---

3.
A geometry-optimized HoEr2Cd structure, computed with PBE.

Lattice parameters (Å, degrees): 3.532 3.532 10.897 80.67 80.67 60.00
Fractional positions:
Ho  0.500  0.500  0.500
Cd  0.000  0.000  0.000
Er  0.745  0.745  0.765
Er  0.255  0.255  0.235

Calculated values
Symmetry ... No. 166
Magnetization ... 0.0 μB per formula unit
DFT formation energy ... -7 kJ per mole of atoms
N(E_F) ... 4.16 states/eV per cell
VASP energy ... -14.90 eV per formula unit
Energy above the most stable polymorph in this dataset ... 73 meV/atom
Crystal system ... trigonal

---

4.
A geometry-optimized SrHN structure, computed with PBE.

Lattice parameters (Å, degrees): 3.873 5.295 7.220 90.00 90.00 90.00
Fractional positions:
Sr  0.750  0.362  0.182
Sr  0.250  0.638  0.818
Sr  0.250  0.862  0.318
Sr  0.750  0.138  0.682
N  0.250  0.332  0.448
N  0.750  0.668  0.552
N  0.750  0.832  0.052
N  0.250  0.168  0.948
H  0.500  0.500  0.500
H  0.000  0.000  0.000
H  0.000  0.500  0.500
H  0.500  0.000  0.000

Calculated values
Symmetry ... No. 62
Magnetization ... 0.0 μB per formula unit
N(E_F) ... 0.00 states/eV per cell
VASP energy ... -14.56 eV per formula unit
Crystal system ... orthorhombic